# 1
A relaxed Tc2PtCl crystal. Source: Alexandria, functional PBE.

Geometry as extended XYZ:
```
4
Lattice="6.0741 0.0485 -0.0122 3.8250 4.7187 0.0122 -4.4493 -3.4223 2.3212" Properties=species:S:1:pos:R:3 pbc="T T T"
Cl 5.0848 2.4487 0.0000
Pt 1.8649 1.6966 1.1667
Tc 9.6955 4.6692 0.0000
Tc 3.6533 -0.3187 1.1545
```

Results
SG	Imm2
final energy	-6.70	eV/atom
ρ	10.690	g/cm3
ΔE_f (raw)	456	meV/atom

---

# 2
A relaxed CdWAu2 crystal. Source: Alexandria, functional PBE.

Geometry as extended XYZ:
```
4
Lattice="5.0543 0.0024 -0.0142 4.2614 2.7179 -0.0142 0.7882 0.2301 5.2179" Properties=species:S:1:pos:R:3 pbc="T T T"
Au 9.2952 2.7142 0.1132
Au 7.5728 2.2113 3.8140
W 2.5162 0.7347 1.1617
Cd 5.0875 1.4855 2.6668
```

Results
SG	Cm
E_form	0.392	eV/atom
final energy	-4.71	eV/atom
ρ	15.993	g/cm3

---

# 3
A relaxed FeNi2Os crystal. Source: Alexandria, functional PBE.

Geometry as extended XYZ:
```
4
Lattice="-2.4738 -2.3174 -2.8139 2.6364 -1.9144 -2.9652 0.1259 0.0567 4.4033" Properties=species:S:1:pos:R:3 pbc="T T T"
Fe -1.1333 -2.1883 -0.6501
Ni 0.0000 0.0000 0.0000
Ni 1.4218 -1.9868 -0.7257
Os 0.0813 -2.1159 -2.8896
```

Results
SG	I-4m2
E_form	0.081	eV/atom
final energy	-7.73	eV/atom
ρ	12.812	g/cm3

---

# 4
A relaxed Sr4Bi2H crystal. Source: Alexandria, functional PBE.

Geometry as extended XYZ:
```
7
Lattice="-1.3386 4.7703 1.0542 -2.1498 0.4064 -4.5687 -9.6218 -0.3829 1.6853" Properties=species:S:1:pos:R:3 pbc="T T T"
Sr -6.8314 0.6696 0.4659
Sr -6.2788 4.1243 -2.2950
Sr -1.0749 0.2032 -2.2843
Sr -0.6693 2.3852 0.5271
Bi -3.8671 1.7877 -0.8295
Bi -9.2431 3.0062 -0.9996
H 0.0000 0.0000 0.0000
```

Results
SG	I4/mmm
final energy	-3.31	eV/atom
ρ	5.474	g/cm3